First-principles (PBE) data for a relaxed Ba3PdO crystal, as listed in Alexandria via LeMat-Bulk.

POSCAR file:
```
Ba3PdO
1.0
-0.0176 3.9242 -3.7636
-4.7769 1.7865 1.8851
2.5971 3.3126 3.4418
O Ba Pd
1 3 1
Direct
0.0000 0.0000 0.0000
0.0000 0.5000 0.0000
0.0000 0.0000 0.5000
0.5000 0.0000 0.0000
0.5000 0.5000 0.5000
```

total magnetization = 0.000 μB per formula unit
E above lowest polymorph = 102 meV/atom
space group = No. 221
N(E_F) = 4.91 states/eV/cell